# PBE-GGA LaPm6Dy2Tm, relaxed
# theoretical density = 7.323 g/cm³
# DFT formation energy = 115 meV per atom
# total magnetization = 0.001 μB/f.u.
# final energy = -4.595 eV per atom
data_LaPm6Dy2Tm
_chemical_formula_sum 'La4 Pm24 Dy8 Tm4'
_cell_length_a 9.3084
_cell_length_b 15.2485
_cell_length_c 9.6660
_cell_angle_alpha 90.00
_cell_angle_beta 96.51
_cell_angle_gamma 90.00
_space_group_name_H-M_alt 'C 1 2/c 1'
_space_group_IT_number 15
loop_
_space_group_symop_operation_xyz
'x,y,z'
'-x,-y,-z'
'-x,y,-z+1/2'
'x,-y,z+1/2'
'x+1/2,y+1/2,z'
'-x+1/2,-y+1/2,-z'
'-x+1/2,y+1/2,-z+1/2'
'x+1/2,-y+1/2,z+1/2'
loop_
_atom_site_label
_atom_site_fract_x
_atom_site_fract_y
_atom_site_fract_z
La1 0.0000 0.0284 0.2500
Pm1 0.0624 0.1821 0.9442
Pm2 0.0972 0.3907 0.1172
Pm3 0.2151 0.2244 0.3152
Dy1 0.2467 0.4495 0.4512
Tm1 0.0000 0.4110 0.7500